Entry 1:
# PBE V3SnI, relaxed
# density of states at the Fermi level: 11.89 states/eV/cell
# crystal system: cubic
# energy relative to the elements, uncorrected: 6.305 eV per formula unit
# theoretical density: 4.67 g/cm3
# total magnetization: 10.0 μB/f.u.
# E above lowest polymorph: 0.000 eV/atom
data_V3SnI
_chemical_formula_sum 'V3 Sn1 I1'
_cell_length_a 5.214
_cell_length_b 5.214
_cell_length_c 5.214
_cell_angle_alpha 90.00
_cell_angle_beta 90.00
_cell_angle_gamma 90.00
_symmetry_space_group_name_H-M 'P m -3 m'
_symmetry_Int_Tables_number 221
_symmetry_space_group_name_Hall '-P 4 2 3'
loop_
_atom_site_label
_atom_site_fract_x
_atom_site_fract_y
_atom_site_fract_z
V1 0.000 0.000 0.500
Sn1 0.000 0.000 0.000
I1 0.500 0.500 0.500

Entry 2:
# PBE CaTc2SbBr, relaxed
# density of states at the Fermi level: 1.73 states/eV/cell
# crystal system: tetragonal
# energy relative to the elements, uncorrected: 4.522 eV per formula unit
# theoretical density: 4.84 g/cm3
# total magnetization: 4.1 μB/f.u.
data_CaTc2SbBr
_chemical_formula_sum 'Ca1 Tc2 Sb1 Br1'
_cell_length_a 4.971
_cell_length_b 4.971
_cell_length_c 6.082
_cell_angle_alpha 90.00
_cell_angle_beta 90.00
_cell_angle_gamma 90.00
_symmetry_space_group_name_H-M 'P 4/m m m'
_symmetry_Int_Tables_number 123
_symmetry_space_group_name_Hall '-P 4 2'
loop_
_atom_site_label
_atom_site_fract_x
_atom_site_fract_y
_atom_site_fract_z
Ca1 0.000 0.000 0.000
Tc1 0.000 0.500 0.500
Sb1 0.500 0.500 0.500
Br1 0.500 0.500 0.000

Entry 3:
# PBE KRbSrNi2, relaxed
# density of states at the Fermi level: 5.95 states/eV/cell
# crystal system: tetragonal
# formation energy: 1.1229 eV per atom
# theoretical density: 3.11 g/cm3
# total magnetization: 0.7 μB/f.u.
data_KRbSrNi2
_chemical_formula_sum 'K1 Rb1 Sr1 Ni2'
_cell_length_a 5.603
_cell_length_b 5.603
_cell_length_c 5.599
_cell_angle_alpha 90.00
_cell_angle_beta 90.00
_cell_angle_gamma 90.00
_symmetry_space_group_name_H-M 'P 4/m m m'
_symmetry_Int_Tables_number 123
_symmetry_space_group_name_Hall '-P 4 2'
loop_
_atom_site_label
_atom_site_fract_x
_atom_site_fract_y
_atom_site_fract_z
K1 0.000 0.000 0.000
Rb1 0.000 0.000 0.500
Sr1 0.500 0.500 0.500
Ni1 0.000 0.500 0.000